(1)
Below is crystalline K2Te2N at its relaxed geometry, with properties calculated at the GGA-PBE level.

- Density: 3.3 g/cm3
- ΔE to the lowest computed polymorph: 0 meV per atom
- Electronic total energy: -3.04 eV/atom
- Magnetic moment: 3.77 μB/cell
- D(E_F): 2.47 states/eV/f.u.
- Formation energy from raw total energies: 1.60 eV/f.u.

Geometry as POSCAR:
```
K2Te2N
1.0
4.346 0.000 0.000
0.000 4.346 0.000
0.000 0.000 18.423
K Te N
4 4 2
Direct
0.000 0.000 0.090
0.000 0.000 0.910
0.500 0.500 0.410
0.500 0.500 0.590
0.000 0.500 0.250
0.000 0.500 0.750
0.500 0.000 0.250
0.500 0.000 0.750
0.000 0.000 0.500
0.500 0.500 0.000
```

***

(2)
Below is crystalline KTe2N2 at its relaxed geometry, with properties calculated at the GGA-PBE level.

- Density: 4.2 g/cm3
- ΔE to the lowest computed polymorph: 107 meV per atom
- Electronic total energy: -3.58 eV/atom
- Magnetic moment: 2.08 μB/cell
- D(E_F): 2.25 states/eV/f.u.
- Formation energy from raw total energies: 6.15 eV/f.u.

Geometry as POSCAR:
```
KTe2N2
1.0
4.575 0.000 0.000
0.000 4.575 0.000
0.000 0.000 6.084
K Te N
1 2 2
Direct
0.000 0.000 0.000
0.000 0.500 0.500
0.500 0.000 0.500
0.500 0.500 0.000
0.500 0.500 0.500
```